(1)
First-principles (PBEsol) data for a geometry-optimized BeTcRh2 structure, as listed in the Alexandria database. Values from VASP.

Quantum ESPRESSO input file:
```
&SYSTEM
  ibrav = 0, nat = 4, ntyp = 3
/
ATOMIC_SPECIES
Be 9.01 Be.upf
Tc 98.00 Tc.upf
Rh 102.91 Rh.upf
CELL_PARAMETERS angstrom
-1.376 2.136 4.110
1.376 -2.136 4.110
1.376 2.136 -4.110
ATOMIC_POSITIONS angstrom
Be 0.000 0.000 0.000
Tc 0.000 0.000 4.110
Rh 1.376 0.000 1.810
Rh 0.000 2.136 2.299
```

Values from the calculation:
formation energy from the elements = -0.188 eV/atom
symmetry = Immm (71)
volume = 48.3 Å³/cell

=====

(2)
First-principles (PBEsol) data for a geometry-optimized BeTc2Rh structure, as listed in the Alexandria database. Values from VASP.

Quantum ESPRESSO input file:
```
&SYSTEM
  ibrav = 0, nat = 4, ntyp = 3
/
ATOMIC_SPECIES
Be 9.01 Be.upf
Tc 98.00 Tc.upf
Rh 102.91 Rh.upf
CELL_PARAMETERS angstrom
-1.384 2.143 4.133
1.384 -2.143 4.133
1.384 2.143 -4.133
ATOMIC_POSITIONS angstrom
Be 0.000 0.000 0.000
Tc 0.000 0.000 4.077
Tc 0.000 2.143 2.253
Rh 1.384 0.000 1.775
```

Values from the calculation:
formation energy from the elements = -0.093 eV/atom
symmetry = Imm2 (44)
volume = 49.0 Å³/cell

=====

(3)
First-principles (PBEsol) data for a geometry-optimized BeTcRh2 structure, as listed in the Alexandria database. Values from VASP.

Quantum ESPRESSO input file:
```
&SYSTEM
  ibrav = 0, nat = 4, ntyp = 3
/
ATOMIC_SPECIES
Be 9.01 Be.upf
Tc 98.00 Tc.upf
Rh 102.91 Rh.upf
CELL_PARAMETERS angstrom
2.710 0.000 0.000
0.000 2.710 0.000
0.000 0.000 6.524
ATOMIC_POSITIONS angstrom
Be 0.000 0.000 0.000
Tc 0.000 0.000 3.262
Rh 1.355 1.355 1.416
Rh 1.355 1.355 5.108
```

Values from the calculation:
formation energy from the elements = -0.381 eV/atom
symmetry = P4/mmm (123)
volume = 47.9 Å³/cell

=====

(4)
First-principles (PBEsol) data for a geometry-optimized BeTeRh3 structure, as listed in the Alexandria database. Values from VASP.

Quantum ESPRESSO input file:
```
&SYSTEM
  ibrav = 0, nat = 5, ntyp = 3
/
ATOMIC_SPECIES
Be 9.01 Be.upf
Te 127.60 Te.upf
Rh 102.91 Rh.upf
CELL_PARAMETERS angstrom
4.711 0.000 0.000
0.000 4.711 0.000
0.000 0.000 4.711
ATOMIC_POSITIONS angstrom
Be 0.000 0.000 0.000
Te 2.356 2.356 2.356
Rh 0.000 2.356 2.356
Rh 2.356 0.000 2.356
Rh 2.356 2.356 0.000
```

Values from the calculation:
formation energy from raw total energies = 1.30 eV per atom
symmetry = Pm-3m (221)
volume = 104.6 Å³/cell

=====

(5)
First-principles (PBEsol) data for a geometry-optimized BeTe2Rh structure, as listed in the Alexandria database. Values from VASP.

Quantum ESPRESSO input file:
```
&SYSTEM
  ibrav = 0, nat = 4, ntyp = 3
/
ATOMIC_SPECIES
Be 9.01 Be.upf
Te 127.60 Te.upf
Rh 102.91 Rh.upf
CELL_PARAMETERS angstrom
0.000 3.354 3.354
3.354 0.000 3.354
3.354 3.354 0.000
ATOMIC_POSITIONS angstrom
Be 0.000 0.000 0.000
Te 1.677 1.677 1.677
Te 3.354 3.354 3.354
Rh 5.030 5.030 5.030
```

Values from the calculation:
formation energy from raw total energies = 0.67 eV per atom
symmetry = F-43m (216)
volume = 75.4 Å³/cell

=====

(6)
First-principles (PBEsol) data for a geometry-optimized BeTe2Rh structure, as listed in the Alexandria database. Values from VASP.

Quantum ESPRESSO input file:
```
&SYSTEM
  ibrav = 0, nat = 4, ntyp = 3
/
ATOMIC_SPECIES
Be 9.01 Be.upf
Te 127.60 Te.upf
Rh 102.91 Rh.upf
CELL_PARAMETERS angstrom
2.940 -3.775 0.000
2.940 3.775 0.000
0.000 0.000 3.647
ATOMIC_POSITIONS angstrom
Be 0.000 0.000 0.000
Te 2.940 1.858 1.824
Te 2.940 -1.858 1.824
Rh 2.940 0.000 0.000
```

Values from the calculation:
formation energy from raw total energies = 0.25 eV per atom
symmetry = Cmmm (65)
volume = 81.0 Å³/cell

=====

(7)
First-principles (PBEsol) data for a geometry-optimized Be2Te2Rh structure, as listed in the Alexandria database. Values from VASP.

Quantum ESPRESSO input file:
```
&SYSTEM
  ibrav = 0, nat = 5, ntyp = 3
/
ATOMIC_SPECIES
Be 9.01 Be.upf
Te 127.60 Te.upf
Rh 102.91 Rh.upf
CELL_PARAMETERS angstrom
-2.486 2.486 3.447
2.486 -2.486 3.447
2.486 2.486 -3.447
ATOMIC_POSITIONS angstrom
Be 0.000 0.000 1.088
Be 0.000 0.000 5.805
Te 2.486 0.000 1.723
Te 0.000 2.486 1.723
Rh 0.000 0.000 3.447
```

Values from the calculation:
formation energy from raw total energies = 0.46 eV per atom
symmetry = I4/mmm (139)
volume = 85.2 Å³/cell

=====

(8)
First-principles (PBEsol) data for a geometry-optimized BeTe2Rh structure, as listed in the Alexandria database. Values from VASP.

Quantum ESPRESSO input file:
```
&SYSTEM
  ibrav = 0, nat = 4, ntyp = 3
/
ATOMIC_SPECIES
Be 9.01 Be.upf
Te 127.60 Te.upf
Rh 102.91 Rh.upf
CELL_PARAMETERS angstrom
1.885 1.088 6.167
-1.885 1.088 6.167
0.000 -2.176 6.167
ATOMIC_POSITIONS angstrom
Be 0.000 0.000 0.000
Te 0.000 0.000 4.643
Te 0.000 0.000 13.858
Rh 0.000 0.000 9.250
```

Values from the calculation:
formation energy from raw total energies = -0.01 eV per atom
symmetry = R-3m (166)
volume = 75.9 Å³/cell

=====

(9)
First-principles (PBEsol) data for a geometry-optimized BeTe4Rh structure, as listed in the Alexandria database. Values from VASP.

Quantum ESPRESSO input file:
```
&SYSTEM
  ibrav = 0, nat = 6, ntyp = 3
/
ATOMIC_SPECIES
Be 9.01 Be.upf
Te 127.60 Te.upf
Rh 102.91 Rh.upf
CELL_PARAMETERS angstrom
0.000 4.268 4.268
4.268 0.000 4.268
4.268 4.268 0.000
ATOMIC_POSITIONS angstrom
Be 0.000 0.000 0.000
Te 5.333 3.204 3.204
Te 3.204 5.333 3.204
Te 3.204 3.204 5.333
Te 5.333 5.333 5.333
Rh 2.134 2.134 2.134
```

Values from the calculation:
formation energy from raw total energies = 1.22 eV per atom
symmetry = F-43m (216)
volume = 155.5 Å³/cell

=====

(10)
First-principles (PBEsol) data for a geometry-optimized BeTeRh2 structure, as listed in the Alexandria database. Values from VASP.

Quantum ESPRESSO input file:
```
&SYSTEM
  ibrav = 0, nat = 4, ntyp = 3
/
ATOMIC_SPECIES
Be 9.01 Be.upf
Te 127.60 Te.upf
Rh 102.91 Rh.upf
CELL_PARAMETERS angstrom
0.000 3.050 3.050
3.050 0.000 3.050
3.050 3.050 0.000
ATOMIC_POSITIONS angstrom
Be 0.000 0.000 0.000
Te 3.050 3.050 3.050
Rh 1.525 1.525 1.525
Rh 4.575 4.575 4.575
```

Values from the calculation:
E above lowest polymorph = 0.01 eV/f.u.
formation energy from raw total energies = -0.10 eV per atom
symmetry = Fm-3m (225)
volume = 56.7 Å³/cell

=====

(11)
First-principles (PBEsol) data for a geometry-optimized BeTe2Rh structure, as listed in the Alexandria database. Values from VASP.

Quantum ESPRESSO input file:
```
&SYSTEM
  ibrav = 0, nat = 8, ntyp = 3
/
ATOMIC_SPECIES
Be 9.01 Be.upf
Te 127.60 Te.upf
Rh 102.91 Rh.upf
CELL_PARAMETERS angstrom
-2.855 2.855 5.693
2.855 -2.855 5.693
2.855 2.855 -5.693
ATOMIC_POSITIONS angstrom
Be 0.000 0.000 0.000
Be 0.000 2.855 2.847
Te 4.282 1.321 -1.423
Te 1.321 1.427 1.423
Te -1.427 1.534 4.270
Te 1.534 1.427 7.117
Rh 2.855 0.000 2.847
Rh 0.000 0.000 5.693
```

Values from the calculation:
formation energy from raw total energies = -0.04 eV per atom
symmetry = I-42d (122)
volume = 185.6 Å³/cell

=====

(12)
First-principles (PBEsol) data for a geometry-optimized Be3TeRh structure, as listed in the Alexandria database. Values from VASP.

Quantum ESPRESSO input file:
```
&SYSTEM
  ibrav = 0, nat = 5, ntyp = 3
/
ATOMIC_SPECIES
Be 9.01 Be.upf
Te 127.60 Te.upf
Rh 102.91 Rh.upf
CELL_PARAMETERS angstrom
4.247 0.000 0.000
0.000 4.247 0.000
0.000 0.000 4.247
ATOMIC_POSITIONS angstrom
Be 0.000 0.000 2.124
Be 0.000 2.124 0.000
Be 2.124 0.000 0.000
Te 2.124 2.124 2.124
Rh 0.000 0.000 0.000
```

Values from the calculation:
formation energy from raw total energies = 0.42 eV per atom
symmetry = Pm-3m (221)
volume = 76.6 Å³/cell